Material: MgZrN2
Method: DFT, PBE-GGA
State: relaxed

Results
Formation energy without anion corrections: -1142 meV per atom
Total moment: 0.000 μB/atom
Calculated volume: 12.17 Å³ per atom

abc: 5.7425 5.7425 5.7425
angles: 32.52 32.52 32.52
Closest atoms and distances in Å follow each position.
Element x y z (fractional)
Mg1 0.0000 0.0000 0.0000  6 N 2.26-2.47
Zr1 0.1750 0.1750 0.1750  6 N 2.22-2.26
N1 0.5876 0.5876 0.5876  3 Mg 2.26, 3 Zr 2.26
N2 0.7665 0.7665 0.7665  3 Zr 2.22, 3 Mg 2.47

Material: MgZr3N
Method: DFT, PBE-GGA
State: relaxed

Results
Formation energy without anion corrections: -119 meV per atom
Total moment: 0.000 μB/atom
Calculated volume: 22.52 Å³ per atom

abc: 5.2980 5.2980 5.2980
angles: 109.90 109.90 109.90
Closest atoms and distances in Å follow each position.
Element x y z (fractional)
Mg1 0.0000 0.0000 0.0000  1 N 2.00
Zr1 0.3387 0.3387 0.7182  1 N 2.05
Zr2 0.3387 0.7182 0.3387  1 N 2.05
Zr3 0.7182 0.3387 0.3387  1 N 2.05
N1 0.6141 0.6141 0.6141  1 Mg 2.00, 3 Zr 2.05